No. 1
Material: La3Tb3Pr2
Method: DFT, PBE
State: optimized geometry

a b c (Å): 3.705 6.360 12.449
angles (deg): 75.27 81.44 90.00
Sites, in units of the cell vectors:
La (0.624, 0.960, 0.752)
La (0.500, 0.500, 0.000)
La (0.376, 0.040, 0.248)
Tb (0.124, 0.457, 0.751)
Tb (0.876, 0.543, 0.249)
Tb (0.000, 0.000, 0.000)
Pr (0.252, 0.254, 0.496)
Pr (0.748, 0.746, 0.504)

Summary:
As for the energy above the most stable polymorph in this dataset: 0 kJ/mol of formula units.

=====

No. 2
Material: FeBiP3
Method: DFT, PBE
State: optimized geometry

a b c (Å): 4.482 4.482 4.482
angles (deg): 90.00 90.00 90.00
Sites, in units of the cell vectors:
P (0.000, 0.500, 0.000)
P (0.000, 0.000, 0.500)
P (0.500, 0.000, 0.000)
Bi (0.500, 0.500, 0.500)
Fe (0.000, 0.000, 0.000)

Summary:
As for the energy above the most stable polymorph in this dataset: 0 kJ/mol of formula units.

=====

No. 3
Material: YHo3TmSc
Method: DFT, PBE
State: optimized geometry

a b c (Å): 5.417 11.051 6.519
angles (deg): 98.79 90.00 104.19
Sites, in units of the cell vectors:
Y (0.333, 0.667, 0.962)
Y (0.667, 0.333, 0.038)
Ho (0.843, 0.686, 0.245)
Ho (0.772, 0.544, 0.685)
Ho (0.476, 0.952, 0.236)
Ho (0.228, 0.456, 0.315)
Ho (0.524, 0.048, 0.764)
Ho (0.157, 0.314, 0.755)
Tm (0.072, 0.145, 0.188)
Tm (0.928, 0.855, 0.812)
Sc (0.630, 0.261, 0.469)
Sc (0.370, 0.739, 0.531)

Summary:
The value obtained for the total energy is -29.8 eV per formula unit.

=====

No. 4
Material: MgCo2Ge2
Method: DFT, PBE
State: optimized geometry

a b c (Å): 5.914 5.914 4.801
angles (deg): 107.76 107.76 87.04
Sites, in units of the cell vectors:
Mg (0.882, 0.618, 0.750)
Mg (0.118, 0.382, 0.250)
Co (0.236, 0.264, 0.750)
Co (0.446, 0.054, 0.250)
Co (0.554, 0.946, 0.750)
Co (0.764, 0.736, 0.250)
Ge (0.161, 0.882, 0.377)
Ge (0.382, 0.661, 0.877)
Ge (0.839, 0.118, 0.623)
Ge (0.618, 0.339, 0.123)

Summary:
The value obtained for the total energy is -25.6 eV per formula unit.

=====

No. 5
Material: SrRhPb2Au
Method: DFT, PBE
State: optimized geometry

a b c (Å): 5.186 5.756 5.186
angles (deg): 90.00 90.00 90.00
Sites, in units of the cell vectors:
Pb (0.000, 0.000, 0.500)
Pb (0.500, 0.000, 0.000)
Rh (0.000, 0.000, 0.000)
Au (0.500, 0.500, 0.500)
Sr (0.000, 0.500, 0.000)

Summary:
The value obtained for the total energy is -20.5 eV per formula unit.

=====

No. 6
Material: La5Nd4Y
Method: DFT, PBE
State: optimized geometry

a b c (Å): 3.652 11.777 12.276
angles (deg): 135.86 98.55 90.00
Sites, in units of the cell vectors:
La (0.206, 0.305, 0.413)
La (0.191, 0.796, 0.382)
La (0.809, 0.204, 0.618)
La (0.500, 0.500, 0.000)
La (0.794, 0.695, 0.587)
Nd (0.606, 0.913, 0.212)
Nd (0.084, 0.374, 0.168)
Nd (0.394, 0.087, 0.788)
Nd (0.916, 0.626, 0.832)
Y (0.500, 0.000, 0.000)

Summary:
As for the energy above the most stable polymorph in this dataset: 0 kJ/mol of formula units.